*P*
Compound: Li3AgHg3
Source: Alexandria via LeMat-Bulk
Functional: PBE
Structure: optimized geometry

Computed properties:
size of the total moment	0.0	μB per formula unit
SG	R-3

Lattice parameters (Å, degrees): 7.1885 7.1885 7.6284 61.89 61.89 60.00
Closest atoms and distances in Å follow each position.
Element x y z (fractional)
Li  0.5524  0.7302  0.6397  4 Hg 2.65-2.82, 1 Ag 2.95
Li  0.7302  0.0778  0.6397  4 Hg 2.65-2.82, 1 Ag 2.95
Li  0.0778  0.5524  0.6397  4 Hg 2.65-2.82, 1 Ag 2.95
Li  0.9222  0.4476  0.3603  4 Hg 2.65-2.82, 1 Ag 2.95
Li  0.2698  0.9222  0.3603  4 Hg 2.65-2.82, 1 Ag 2.95
Li  0.4476  0.2698  0.3603  4 Hg 2.65-2.82, 1 Ag 2.95
Ag  0.3295  0.3295  0.0114  3 Li 2.95, 6 Hg 2.96-3.08
Ag  0.6705  0.6705  0.9886  3 Li 2.95, 6 Hg 2.96-3.08
Hg  0.1975  0.6914  0.1998  4 Li 2.65-2.82, 1 Ag 2.96
Hg  0.9113  0.1975  0.1998  4 Li 2.65-2.82, 1 Ag 2.96
Hg  0.6914  0.9113  0.1998  4 Li 2.65-2.82, 1 Ag 2.96
Hg  0.3086  0.0887  0.8002  4 Li 2.65-2.82, 1 Ag 2.96
Hg  0.0887  0.8025  0.8002  4 Li 2.65-2.82, 1 Ag 2.96
Hg  0.8025  0.3086  0.8002  4 Li 2.65-2.82, 1 Ag 2.96

*Q*
Compound: Li3AgHg3
Source: Alexandria via LeMat-Bulk
Functional: PBE
Structure: optimized geometry

Computed properties:
size of the total moment	0.0	μB per formula unit
SG	Cmmm

Lattice parameters (Å, degrees): 6.6678 6.6678 6.0890 90.00 90.00 89.91
Closest atoms and distances in Å follow each position.
Element x y z (fractional)
Li  0.0000  0.0000  0.7605  2 Li 2.92-3.17, 2 Ag 2.92, 6 Hg 2.95-3.00
Li  0.5000  0.0000  0.2457  2 Ag 2.80, 6 Hg 2.81-2.83, 2 Li 2.99-3.10
Li  0.0000  0.5000  0.2457  2 Ag 2.80, 6 Hg 2.81-2.83, 2 Li 2.99-3.10
Li  0.5000  0.0000  0.7543  2 Ag 2.80, 6 Hg 2.81-2.83, 2 Li 2.99-3.10
Li  0.0000  0.5000  0.7543  2 Ag 2.80, 6 Hg 2.81-2.83, 2 Li 2.99-3.10
Li  0.0000  0.0000  0.2395  2 Li 2.92-3.17, 2 Ag 2.92, 6 Hg 2.95-3.00
Ag  0.2681  0.2681  0.0000  6 Li 2.80-2.92, 4 Hg 3.03-3.05
Ag  0.7319  0.7319  0.0000  6 Li 2.80-2.92, 4 Hg 3.03-3.05
Hg  0.2640  0.2640  0.5000  6 Li 2.82-2.95, 2 Ag 3.04-3.05, 2 Hg 3.12
Hg  0.2683  0.7317  0.5000  6 Li 2.83-2.98, 4 Hg 3.05-3.12
Hg  0.7317  0.2683  0.5000  6 Li 2.83-2.98, 4 Hg 3.05-3.12
Hg  0.2776  0.7224  0.0000  6 Li 2.81-3.00, 2 Ag 3.03, 2 Hg 3.05
Hg  0.7224  0.2776  0.0000  6 Li 2.81-3.00, 2 Ag 3.03, 2 Hg 3.05
Hg  0.7360  0.7360  0.5000  6 Li 2.82-2.95, 2 Ag 3.04-3.05, 2 Hg 3.12

The structure with the least stability is *P*.

*P*
Compound: Li2Ag2Hg
Source: Alexandria via LeMat-Bulk
Functional: PBE
Structure: optimized geometry

Computed properties:
size of the total moment	0.0	μB per formula unit
SG	C2/c

Lattice parameters (Å, degrees): 4.9723 9.1562 12.3383 19.24 78.38 74.24
Closest atoms and distances in Å follow each position.
Element x y z (fractional)
Li  0.4169  0.8164  0.9669  5 Ag 2.77-2.90, 4 Hg 2.86-3.05, 2 Li 3.05
Li  0.7998  0.3164  0.4669  5 Ag 2.77-2.90, 4 Hg 2.86-3.05, 2 Li 3.05
Li  0.5831  0.1836  0.0331  5 Ag 2.77-2.90, 4 Hg 2.86-3.05, 2 Li 3.05
Li  0.2002  0.6836  0.5331  5 Ag 2.77-2.90, 4 Hg 2.86-3.05, 2 Li 3.05
Ag  0.3767  0.9504  0.6498  5 Li 2.77-2.90, 6 Ag 2.90-2.96, 1 Hg 2.96
Ag  0.9769  0.5496  0.8502  5 Li 2.77-2.90, 6 Ag 2.90-2.96, 1 Hg 2.96
Ag  0.6233  0.0496  0.3502  5 Li 2.77-2.90, 6 Ag 2.90-2.96, 1 Hg 2.96
Ag  0.0231  0.4504  0.1498  5 Li 2.77-2.90, 6 Ag 2.90-2.96, 1 Hg 2.96
Hg  0.2144  0.7500  0.2500  8 Li 2.86-3.05, 2 Ag 2.96, 2 Hg 3.20
Hg  0.7856  0.2500  0.7500  8 Li 2.86-3.05, 2 Ag 2.96, 2 Hg 3.20

*Q*
Compound: Li2Ag2Hg
Source: Alexandria via LeMat-Bulk
Functional: PBE
Structure: optimized geometry

Computed properties:
size of the total moment	0.0	μB per formula unit
SG	P4/mbm

Lattice parameters (Å, degrees): 7.4994 7.4994 3.2181 90.00 90.00 90.00
Closest atoms and distances in Å follow each position.
Element x y z (fractional)
Hg  0.0000  0.0000  0.0000  4 Ag 2.93, 2 Hg 3.22, 8 Li 3.23
Hg  0.5000  0.5000  0.0000  4 Ag 2.93, 2 Hg 3.22, 8 Li 3.23
Ag  0.3678  0.8678  0.0000  6 Li 2.68-2.76, 1 Ag 2.80, 2 Hg 2.93
Ag  0.8678  0.6322  0.0000  6 Li 2.68-2.76, 1 Ag 2.80, 2 Hg 2.93
Ag  0.6322  0.1322  0.0000  6 Li 2.68-2.76, 1 Ag 2.80, 2 Hg 2.93
Ag  0.1322  0.3678  0.0000  6 Li 2.68-2.76, 1 Ag 2.80, 2 Hg 2.93
Li  0.1655  0.6655  0.5000  6 Ag 2.68-2.76
Li  0.6655  0.8345  0.5000  6 Ag 2.68-2.76
Li  0.8345  0.3345  0.5000  6 Ag 2.68-2.76
Li  0.3345  0.1655  0.5000  6 Ag 2.68-2.76

The structure with the least stability is *Q*.

*P*
Compound: Li2Ag2Hg
Source: Alexandria via LeMat-Bulk
Functional: PBE
Structure: optimized geometry

Computed properties:
size of the total moment	0.0	μB per formula unit
SG	C2/m

Lattice parameters (Å, degrees): 4.6277 5.4467 8.3461 67.02 73.90 64.86
Closest atoms and distances in Å follow each position.
Element x y z (fractional)
Li  0.9459  0.2518  0.8564  5 Ag 2.75-2.85, 1 Hg 2.79, 2 Li 2.81-2.84
Li  0.1523  0.2519  0.4434  3 Hg 2.74-2.75, 3 Ag 2.78-2.85, 2 Li 2.84-2.86
Li  0.0541  0.7482  0.1436  5 Ag 2.75-2.85, 1 Hg 2.79, 2 Li 2.81-2.84
Li  0.8477  0.7481  0.5566  3 Hg 2.74-2.75, 3 Ag 2.78-2.85, 2 Li 2.84-2.86
Ag  0.3497  0.2608  0.0398  3 Li 2.75-2.78, 2 Ag 2.84-2.91, 3 Hg 2.90-2.93
Ag  0.5518  0.2452  0.6511  5 Li 2.78-2.85, 2 Ag 2.89-2.91, 1 Hg 2.92
Ag  0.6503  0.7392  0.9602  3 Li 2.75-2.78, 2 Ag 2.84-2.91, 3 Hg 2.90-2.93
Ag  0.4482  0.7548  0.3489  5 Li 2.78-2.85, 2 Ag 2.89-2.91, 1 Hg 2.92
Hg  0.7576  0.2204  0.2643  4 Li 2.74-2.79, 4 Ag 2.90-2.93
Hg  0.2424  0.7796  0.7357  4 Li 2.74-2.79, 4 Ag 2.90-2.93

*Q*
Compound: Li2Ag2Hg
Source: Alexandria via LeMat-Bulk
Functional: PBE
Structure: optimized geometry

Computed properties:
size of the total moment	0.0	μB per formula unit
SG	I4/mmm

Lattice parameters (Å, degrees): 5.0131 5.0131 5.4126 62.41 62.41 90.00
Closest atoms and distances in Å follow each position.
Element x y z (fractional)
Hg  0.0000  0.0000  0.0000  2 Ag 2.78
Ag  0.3398  0.3398  0.3205  4 Li 2.61, 1 Ag 2.62, 1 Hg 2.78
Ag  0.6602  0.6602  0.6795  4 Li 2.61, 1 Ag 2.62, 1 Hg 2.78
Li  0.7500  0.2500  0.5000  4 Ag 2.61
Li  0.2500  0.7500  0.5000  4 Ag 2.61

The structure with the least stability is *Q*.

*P*
Compound: LiAg4Hg2
Source: Alexandria via LeMat-Bulk
Functional: PBE
Structure: optimized geometry

Computed properties:
size of the total moment	0.0	μB per formula unit
SG	P1

Lattice parameters (Å, degrees): 5.6957 7.0806 7.9093 103.17 112.55 105.74
Closest atoms and distances in Å follow each position.
Element x y z (fractional)
Li  0.3593  0.6503  0.4758  4 Hg 2.83-3.01, 8 Ag 2.92-3.05
Li  0.1063  0.8949  0.0294  3 Hg 2.86-2.95, 9 Ag 2.93-3.05
Ag  0.9716  0.7539  0.6015  5 Ag 2.89-3.00, 4 Hg 2.92-3.09, 3 Li 2.94-3.05
Ag  0.3887  0.1680  0.8781  8 Ag 2.89-3.06, 1 Li 2.93, 3 Hg 3.00-3.03
Ag  0.9246  0.2138  0.1818  6 Ag 2.90-3.06, 4 Hg 2.93-3.06, 2 Li 2.93-3.04
Ag  0.2468  0.0243  0.4519  5 Ag 2.89-3.06, 2 Li 2.92-2.97, 5 Hg 2.93-3.18
Ag  0.7878  0.0664  0.7616  7 Ag 2.88-3.00, 2 Li 2.93-2.94, 3 Hg 3.03-3.16
Ag  0.2113  0.4969  0.0423  4 Hg 2.90-3.03, 6 Ag 2.92-3.07, 2 Li 3.04-3.05
Ag  0.8302  0.6054  0.1738  7 Ag 2.91-3.07, 2 Li 2.92-2.95, 3 Hg 2.94-2.96
Ag  0.5037  0.7968  0.9065  6 Ag 2.88-3.07, 3 Hg 2.92-2.99, 3 Li 2.96-3.02
Hg  0.6290  0.9116  0.3267  2 Li 2.83-2.95, 8 Ag 2.90-3.07, 2 Hg 3.14-3.15
Hg  0.6935  0.4851  0.7554  2 Li 2.86-3.01, 7 Ag 2.92-3.18, 3 Hg 3.00-3.15
Hg  0.0849  0.3655  0.6140  1 Li 2.88, 7 Ag 2.99-3.07, 4 Hg 3.00-3.14
Hg  0.5124  0.3171  0.3012  2 Li 2.90-2.96, 7 Ag 2.90-3.09, 3 Hg 3.11-3.15

*Q*
Compound: LiAg4Hg2
Source: Alexandria via LeMat-Bulk
Functional: PBE
Structure: optimized geometry

Computed properties:
size of the total moment	0.0	μB per formula unit
SG	C2/m

Lattice parameters (Å, degrees): 7.1536 7.1537 5.8165 128.01 128.01 90.27
Closest atoms and distances in Å follow each position.
Element x y z (fractional)
Li  0.9997  0.9997  0.9995  4 Ag 3.04-3.05
Ag  0.6995  0.3006  0.0001  4 Ag 2.85-3.02, 4 Hg 2.93-2.95, 1 Li 3.05
Ag  0.3005  0.6995  0.0001  4 Ag 2.85-3.02, 4 Hg 2.93-2.95, 1 Li 3.05
Ag  0.3018  0.3018  0.0014  4 Ag 2.85-3.02, 4 Hg 2.95, 1 Li 3.04
Ag  0.6983  0.6983  0.9988  4 Ag 2.85-3.02, 4 Hg 2.95, 1 Li 3.04
Hg  0.7498  0.2502  0.5001  2 Hg 2.84, 8 Ag 2.93-2.95
Hg  0.2502  0.7499  0.5001  2 Hg 2.84, 8 Ag 2.93-2.95

The structure with the least stability is *Q*.

*P*
Compound: Li2Ag3Hg2
Source: Alexandria via LeMat-Bulk
Functional: PBE
Structure: optimized geometry

Computed properties:
size of the total moment	0.0	μB per formula unit
SG	C2/m

Lattice parameters (Å, degrees): 4.1002 5.1406 6.7241 98.11 90.00 113.50
Closest atoms and distances in Å follow each position.
Element x y z (fractional)
Li  0.5782  0.1565  0.7285  6 Ag 2.83-3.03, 5 Hg 2.95-3.02
Li  0.4218  0.8435  0.2715  6 Ag 2.83-3.03, 5 Hg 2.95-3.02
Ag  0.2866  0.5733  0.8655  4 Li 2.83-3.03, 5 Ag 2.89-2.98, 3 Hg 2.98-3.10
Ag  0.0000  0.0000  0.0000  4 Li 2.91, 6 Ag 2.92-2.98, 2 Hg 2.93
Ag  0.7134  0.4267  0.1345  4 Li 2.83-3.03, 5 Ag 2.89-2.98, 3 Hg 2.98-3.10
Hg  0.1363  0.2727  0.4214  4 Ag 2.93-3.10, 3 Hg 2.93-3.04, 5 Li 2.95-3.02
Hg  0.8637  0.7273  0.5786  4 Ag 2.93-3.10, 3 Hg 2.93-3.04, 5 Li 2.95-3.02

*Q*
Compound: Li2Ag3Hg2
Source: Alexandria via LeMat-Bulk
Functional: PBE
Structure: optimized geometry

Computed properties:
size of the total moment	0.0	μB per formula unit
SG	I2_13

Lattice parameters (Å, degrees): 7.0773 7.0773 7.0773 109.47 109.47 109.47
Closest atoms and distances in Å follow each position.
Element x y z (fractional)
Li  0.0000  0.0000  0.4599  1 Hg 2.62, 6 Ag 2.73-2.84
Li  0.5000  0.4599  0.5000  1 Hg 2.62, 6 Ag 2.73-2.84
Li  0.5401  0.0401  0.0401  1 Hg 2.62, 6 Ag 2.73-2.84
Li  0.9599  0.5000  0.0000  1 Hg 2.62, 6 Ag 2.73-2.84
Ag  0.7388  0.7500  0.9888  4 Li 2.73-2.84, 2 Hg 2.89, 4 Ag 2.96
Ag  0.7612  0.2500  0.5112  4 Li 2.73-2.84, 2 Hg 2.89, 4 Ag 2.96
Ag  0.0112  0.2612  0.2500  4 Li 2.73-2.84, 2 Hg 2.89, 4 Ag 2.96
Ag  0.4888  0.2388  0.7500  4 Li 2.73-2.84, 2 Hg 2.89, 4 Ag 2.96
Ag  0.2500  0.9888  0.2388  4 Li 2.73-2.84, 2 Hg 2.89, 4 Ag 2.96
Ag  0.7500  0.5112  0.2612  4 Li 2.73-2.84, 2 Hg 2.89, 4 Ag 2.96
Hg  0.0000  0.0000  0.8301  1 Li 2.62, 3 Ag 2.89
Hg  0.5000  0.8301  0.5000  1 Li 2.62, 3 Ag 2.89
Hg  0.1699  0.6699  0.6699  1 Li 2.62, 3 Ag 2.89
Hg  0.3301  0.5000  0.0000  1 Li 2.62, 3 Ag 2.89

The structure with the least stability is *Q*.